KTbIn GGA-PBE optimized geometry; D(E_F) = 4.671 states/eV per cell; symmetry = No. 139; magnetic moment = 0.77 μB per cell; energy of formation = -0.14 eV per atom; density = 4406 kg/m³
1.0
-0.519 -3.580 1.783
3.806 -0.996 -0.890
2.780 7.922 12.156
Tb In K
2 2 2
Cartesian
2.545 3.242 7.252 Tb
3.521 0.104 5.796 Tb
1.436 1.829 4.091 In
4.630 1.517 8.957 In
2.319 -1.427 2.373 K
3.747 4.773 10.675 K

KTbIn4 GGA-PBE optimized geometry; D(E_F) = 3.371 states/eV per cell; symmetry = No. 216; magnetic moment = 0.00 μB per cell; energy of formation = -0.15 eV per atom; density = 6539 kg/m³
1.0
6.180 0.000 0.000
3.090 5.352 0.000
3.090 1.784 5.046
K Tb In
1 1 4
Cartesian
3.090 1.784 1.262 K
0.000 0.000 0.000 Tb
6.180 3.568 0.625 In
6.180 1.779 3.156 In
7.730 4.463 3.156 In
4.631 4.463 3.156 In

K3Tb3InTe8 GGA-PBE optimized geometry; D(E_F) = 7.001 states/eV per cell; symmetry = No. 12; ΔE_f (raw) = -1.103 eV per atom; magnetic moment = 0.00 μB per cell; density = 5029 kg/m³
1.0
8.785 0.000 0.000
-4.392 7.628 -0.037
0.000 -5.052 8.547
K Tb In Te
3 3 1 8
Cartesian
0.000 0.000 0.000 K
-2.196 3.814 -0.019 K
2.196 3.814 -0.019 K
4.392 -2.526 4.274 Tb
2.196 1.288 4.255 Tb
-2.196 1.288 4.255 Tb
0.000 -2.526 4.274 In
0.000 2.552 2.458 Te
4.392 0.024 6.053 Te
4.392 2.572 2.494 Te
0.000 0.003 6.016 Te
6.605 -1.270 2.512 Te
-2.212 3.846 5.998 Te
2.180 -1.270 2.512 Te
2.212 3.846 5.998 Te

KTbInTe3 GGA-PBE optimized geometry; D(E_F) = 5.616 states/eV per cell; symmetry = No. 11; ΔE_f (raw) = -0.972 eV per atom; magnetic moment = 0.00 μB per cell; density = 5152 kg/m³
1.0
4.318 0.000 0.000
0.000 9.274 -0.487
0.000 -2.963 11.355
K Tb In Te
2 2 2 6
Cartesian
1.079 1.291 3.060 K
3.238 5.020 7.808 K
1.079 5.465 1.450 Tb
3.238 0.846 9.418 Tb
1.079 -0.542 6.417 In
3.238 6.853 4.450 In
3.238 7.707 1.719 Te
1.079 -1.396 9.148 Te
1.079 4.819 4.549 Te
3.238 1.493 6.318 Te
3.238 3.302 1.102 Te
1.079 3.009 9.765 Te

K2TbInTe4 GGA-PBE optimized geometry; D(E_F) = 0.000 states/eV per cell; symmetry = No. 121; ΔE_f (raw) = -0.963 eV per atom; magnetic moment = 0.00 μB per cell; density = 4917 kg/m³
1.0
7.563 0.000 0.000
3.781 6.205 0.000
3.781 0.000 6.205
K Tb In Te
2 1 1 4
Cartesian
3.781 3.103 3.103 K
7.563 3.103 3.103 K
0.000 0.000 0.000 Tb
3.781 0.000 0.000 In
1.998 2.237 0.000 Te
9.346 0.000 3.968 Te
5.565 0.000 2.237 Te
5.779 3.968 0.000 Te

K4Tb3InTe8 GGA-PBE optimized geometry; D(E_F) = 2.100 states/eV per cell; symmetry = No. 166; ΔE_f (raw) = -1.186 eV per atom; magnetic moment = 0.00 μB per cell; density = 5073 kg/m³
1.0
-8.803 0.429 1.796
-1.968 -3.970 -8.695
5.493 -4.544 5.487
K Tb In Te
4 3 1 8
Cartesian
-4.402 0.215 0.898 K
-1.655 -2.058 3.642 K
0.000 0.000 0.000 K
2.747 -2.272 2.743 K
-5.385 -1.771 -3.450 Tb
-2.639 -4.043 -0.706 Tb
1.763 -4.257 -1.604 Tb
-0.984 -1.985 -4.348 In
1.903 -7.127 -0.383 Te
-0.881 -4.826 -3.163 Te
0.004 -3.433 0.840 Te
-2.558 -6.910 0.527 Te
-2.720 -1.176 -1.939 Te
-5.282 -4.652 -2.252 Te
-4.397 -3.259 1.751 Te
-7.180 -0.958 -1.029 Te

KInTc2 GGA-PBE optimized geometry; D(E_F) = 3.606 states/eV per cell; symmetry = No. 8; magnetic moment = 0.00 μB per cell; energy of formation = 0.55 eV per atom; density = 5905 kg/m³
1.0
-0.018 -0.690 4.307
0.603 -3.266 2.828
7.791 1.363 0.894
In K Tc
1 1 2
Cartesian
3.584 -1.458 4.043 In
6.451 -1.914 6.039 K
1.385 -3.739 7.093 Tc
1.730 -0.733 2.003 Tc

KInTc GGA-PBE optimized geometry; D(E_F) = 2.864 states/eV per cell; symmetry = No. 156; magnetic moment = 0.72 μB per cell; energy of formation = 0.83 eV per atom; density = 6181 kg/m³
1.0
-2.109 0.096 2.223
2.583 -1.601 0.406
3.676 6.738 3.195
In K Tc
1 1 1
Cartesian
3.547 6.502 3.083 In
2.282 1.280 2.109 K
1.996 4.190 3.827 Tc

KInTc2 GGA-PBE optimized geometry; D(E_F) = 3.871 states/eV per cell; symmetry = No. 12; magnetic moment = 0.00 μB per cell; energy of formation = 1.16 eV per atom; density = 7555 kg/m³
1.0
5.901 0.006 0.029
-3.022 5.068 0.029
0.426 0.750 2.579
In K Tc
1 1 2
Cartesian
3.163 0.378 1.304 In
-1.298 2.909 1.304 K
0.000 0.000 0.000 Tc
1.439 2.537 0.029 Tc

KInTc3 GGA-PBE optimized geometry; D(E_F) = 4.974 states/eV per cell; symmetry = No. 221; magnetic moment = 2.97 μB per cell; energy of formation = 2.84 eV per atom; density = 7659 kg/m³
1.0
4.596 0.000 0.000
0.000 4.596 0.000
0.000 0.000 4.596
K Tc In
1 3 1
Cartesian
0.000 0.000 0.000 K
0.000 2.298 0.000 Tc
0.000 0.000 2.298 Tc
2.298 0.000 0.000 Tc
2.298 2.298 2.298 In

K2InTc GGA-PBE optimized geometry; D(E_F) = 4.206 states/eV per cell; symmetry = No. 123; magnetic moment = 2.55 μB per cell; energy of formation = 1.04 eV per atom; density = 3755 kg/m³
1.0
4.691 0.000 0.000
0.000 4.691 0.000
0.000 0.000 5.848
In K Tc
1 2 1
Cartesian
2.346 2.346 4.386 In
0.000 0.000 0.024 K
0.000 0.000 2.900 K
2.346 2.346 1.462 Tc

K2InTc GGA-PBE optimized geometry; D(E_F) = 1.264 states/eV per cell; symmetry = No. 139; magnetic moment = 1.98 μB per cell; energy of formation = 0.90 eV per atom; density = 4428 kg/m³
1.0
6.610 -0.072 0.000
3.854 5.371 0.000
-5.232 -2.649 3.050
In K Tc
1 2 1
Cartesian
3.305 -0.036 1.525 In
0.000 0.000 0.000 K
5.232 2.649 0.000 K
1.927 2.685 1.525 Tc